NiIr2: optimized geometry, GGA-PBEsol.

Lattice parameters (Å, degrees): 4.3349 4.5493 4.5493 60.00 90.00 90.00
Last column: nearest neighbours and their distance in Å.
Fractional positions:
Ni1 0.2500 0.8292 0.1708  10 Ir 2.60-2.65, 2 Ni 2.67
Ni2 0.7500 0.1708 0.8292  10 Ir 2.60-2.65, 2 Ni 2.67
Ir1 0.2500 0.1622 0.5106  7 Ir 2.58-2.69, 5 Ni 2.60-2.65
Ir2 0.7500 0.8378 0.4894  7 Ir 2.58-2.69, 5 Ni 2.60-2.65
Ir3 0.2500 0.4894 0.8378  7 Ir 2.58-2.69, 5 Ni 2.60-2.65
Ir4 0.7500 0.5106 0.1622  7 Ir 2.58-2.69, 5 Ni 2.60-2.65

## Properties
For the energy relative to the elements, the calculation gives 0.04 eV per atom.

Ni2Ir: optimized geometry, GGA-PBEsol.

Lattice parameters (Å, degrees): 2.5224 4.0258 4.0258 120.00 90.00 90.00
Last column: nearest neighbours and their distance in Å.
Fractional positions:
Ir1 0.5000 0.0000 0.0000  2 Ir 2.52, 12 Ni 2.64
Ni1 0.0000 0.3333 0.6667  5 Ni 2.32-2.52
Ni2 0.0000 0.6667 0.3333  5 Ni 2.32-2.52

## Properties
For the energy relative to the elements, the calculation gives 0.11 eV per atom.

Ni2Ir: optimized geometry, GGA-PBEsol.

Lattice parameters (Å, degrees): 2.5966 3.5675 4.3993 113.92 107.16 90.00
Last column: nearest neighbours and their distance in Å.
Fractional positions:
Ni1 0.3331 0.3331 0.6663  5 Ir 2.54-2.55, 7 Ni 2.54-2.60
Ni2 0.6669 0.6669 0.3337  5 Ir 2.54-2.55, 7 Ni 2.54-2.60
Ir1 0.0000 0.0000 0.0000  10 Ni 2.54-2.55, 2 Ir 2.60

## Properties
For the energy relative to the elements, the calculation gives 0.04 eV per atom.

NiIr3O: optimized geometry, GGA-PBEsol.

Lattice parameters (Å, degrees): 4.0267 4.0267 4.0267 90.00 90.00 90.00
Last column: nearest neighbours and their distance in Å.
Fractional positions:
Ni1 0.5000 0.5000 0.5000  12 Ir 2.85
Ir1 0.0000 0.5000 0.0000  2 O 2.01
Ir2 0.0000 0.0000 0.5000  2 O 2.01
Ir3 0.5000 0.0000 0.0000  2 O 2.01
O1 0.0000 0.0000 0.0000  6 Ir 2.01

## Properties
The uncorrected formation energy is 0.93 eV/atom.

Rb2NiIrO: optimized geometry, GGA-PBEsol.

Lattice parameters (Å, degrees): 3.6552 6.0042 6.0042 90.00 90.00 90.00
Last column: nearest neighbours and their distance in Å.
Fractional positions:
Ni1 0.5000 0.5000 0.5000  8 Rb 3.51, 2 Ni 3.66
Ir1 0.5000 0.0000 0.0000  2 O 1.83
O1 0.0000 0.0000 0.0000  2 Ir 1.83
Rb1 0.0000 0.0000 0.5000  2 O 3.00
Rb2 0.0000 0.5000 0.0000  2 O 3.00

## Properties
The uncorrected formation energy is 0.29 eV/atom.

Sr3NiIrO6: optimized geometry, GGA-PBEsol.

Lattice parameters (Å, degrees): 6.6228 6.6228 6.6228 91.44 91.44 91.44
Last column: nearest neighbours and their distance in Å.
Fractional positions:
O1 0.7868 0.5951 0.4645  1 Ir 2.01, 1 Ni 2.15
O2 0.5951 0.4645 0.7868  1 Ir 2.01, 1 Ni 2.15
O3 0.4645 0.7868 0.5951  1 Ir 2.01, 1 Ni 2.15
O4 0.0355 0.9049 0.7132  1 Ir 2.01, 1 Ni 2.15
O5 0.9049 0.7132 0.0355  1 Ir 2.01, 1 Ni 2.15
O6 0.7132 0.0355 0.9049  1 Ir 2.01, 1 Ni 2.15
O7 0.2132 0.4049 0.5355  1 Ir 2.01, 1 Ni 2.15
O8 0.4049 0.5355 0.2132  1 Ir 2.01, 1 Ni 2.15
O9 0.5355 0.2132 0.4049  1 Ir 2.01, 1 Ni 2.15
O10 0.9645 0.0951 0.2868  1 Ir 2.01, 1 Ni 2.15
O11 0.2868 0.9645 0.0951  1 Ir 2.01, 1 Ni 2.15
O12 0.0951 0.2868 0.9645  1 Ir 2.01, 1 Ni 2.15
Ni1 0.7500 0.7500 0.7500  6 O 2.15
Ni2 0.2500 0.2500 0.2500  6 O 2.15
Sr1 0.7500 0.3861 0.1139  8 O 2.45-2.69
Sr2 0.6139 0.8861 0.2500  8 O 2.45-2.69
Sr3 0.1139 0.7500 0.3861  8 O 2.45-2.69
Sr4 0.2500 0.6139 0.8861  8 O 2.45-2.69
Sr5 0.8861 0.2500 0.6139  8 O 2.45-2.69
Sr6 0.3861 0.1139 0.7500  8 O 2.45-2.69
Ir1 0.5000 0.5000 0.5000  6 O 2.01
Ir2 0.0000 0.0000 0.0000  6 O 2.01

## Properties
The uncorrected formation energy is -1.91 eV/atom.